1.
SrCrCoBr2: optimized geometry, PBE-GGA.

Uncorrected energy ... -21.85 eV per cell
Magnetization ... 4.12 Bohr magnetons per cell
Space group ... P4/mmm, No. 123
Formation energy from raw total energies ... -0.018 eV/atom

Lattice parameters (Å, degrees): 5.1166 5.1166 4.6596 90.00 90.00 90.00
Atoms (fractional coordinates):
Sr 0.0000 0.0000 0.0000
Cr 0.5000 0.5000 0.0000
Co 0.5000 0.5000 0.5000
Br 0.0000 0.5000 0.5000
Br 0.5000 0.0000 0.5000



2.
Zn2CrCoBr: optimized geometry, PBE-GGA.

Uncorrected energy ... -17.51 eV per cell
Magnetization ... 5.34 Bohr magnetons per cell
Space group ... P4/mmm, No. 123
Formation energy from raw total energies ... 0.688 eV/atom

Lattice parameters (Å, degrees): 4.6331 4.6331 4.7939 90.00 90.00 90.00
Atoms (fractional coordinates):
Zn 0.0000 0.5000 0.0000
Zn 0.5000 0.0000 0.0000
Cr 0.0000 0.0000 0.5000
Co 0.5000 0.5000 0.0000
Br 0.5000 0.5000 0.5000